4
Lattice="3.394 0.000 0.000 0.000 3.394 0.000 0.000 0.000 6.766" Properties=species:S:1:pos:R:3 comment="Y2BeCo GGA-PBE relaxed" n_ef_per_ev_fu=3.19 crystal_system=tetragonal formation_energy_ev_per_atom=-0.017 space_group="P4/mmm (123)" pbc="T T T"
Y 0.000 0.000 1.653
Y 0.000 0.000 5.113
Be 1.697 1.697 3.383
Co 1.697 1.697 0.000